# 1
A plane-wave DFT calculation with PBE was carried out for Pm6Sb3AsP2 after structural relaxation.

```
12
Lattice="-1.772 -1.069 -3.776 7.817 -2.376 -2.996 -2.621 -7.357 5.768" Properties=species:S:1:pos:R:3 pbc="T T T"
As -0.886 -0.535 -1.888
Pm 4.698 -7.449 -0.096
Pm 1.059 -6.196 1.257
Pm 1.852 -0.672 -0.679
Pm 1.573 -10.129 -0.325
Pm 2.365 -4.605 -2.261
Pm -1.274 -3.353 -0.908
P 1.988 -7.368 -1.301
P 1.437 -3.433 0.298
Sb 5.345 -4.592 -1.208
Sb -1.921 -6.209 0.205
Sb 3.023 -1.722 -3.386
```

DFT total energy in eV per atom: -6.038
Crystal system: monoclinic
Total moment in Bohr magnetons per cell: 0.00
Uncorrected formation energy in eV per atom: -1.3434



# 2
A plane-wave DFT calculation with PBE was carried out for Nd3Ga5Se12 after structural relaxation.

```
80
Lattice="13.929 0.000 0.000 -4.643 13.132 0.000 -4.643 -6.566 11.373" Properties=species:S:1:pos:R:3 pbc="T T T"
Se 3.418 5.451 4.716
Se 2.917 1.713 3.680
Se 6.321 6.528 2.007
Se 2.463 -2.274 6.723
Se -3.546 11.208 1.392
Se -4.048 5.806 6.042
Se 4.502 2.274 6.723
Se -4.502 5.164 11.017
Se 0.141 4.292 4.650
Se 8.189 -4.642 9.980
Se 6.369 7.326 6.042
Se 1.224 1.115 6.657
Se -0.595 0.953 2.363
Se 7.560 -0.953 2.363
Se 5.286 -1.757 10.402
Se 10.383 3.040 3.323
Se -0.643 4.847 1.036
Se 9.929 6.604 2.007
Se 5.740 -1.115 6.657
Se -2.463 2.890 7.079
Se 8.691 0.760 5.330
Se 1.678 1.757 10.402
Se 2.180 8.840 4.650
Se 5.286 1.719 10.336
Se 1.678 -1.719 10.336
Se -2.463 -5.164 11.017
Se -1.678 0.038 9.366
Se 9.427 -2.890 7.079
Se 5.867 10.093 3.323
Se -0.643 8.323 0.971
Se -1.097 7.681 4.716
Se 2.965 4.809 0.971
Se 7.106 11.730 0.356
Se 4.048 -1.713 3.680
Se 1.726 4.853 7.693
Se 7.106 3.676 4.294
Se -5.740 3.527 8.049
Se -5.286 -0.038 9.366
Se 2.965 8.285 1.036
Se 5.238 5.613 9.010
Se -4.784 9.456 4.294
Se 9.145 1.402 0.356
Se -2.917 7.519 9.010
Se 5.867 1.925 1.392
Se -1.224 4.641 9.980
Se -1.224 -3.527 8.049
Se 0.595 8.279 7.693
Se -1.726 -0.760 5.330
Ga 5.804 -4.104 9.951
Ga -4.643 3.283 5.686
Ga 1.161 4.104 9.951
Ga 6.964 0.000 0.000
Ga 8.125 -0.821 7.108
Ga -1.161 0.821 7.108
Ga -1.161 3.283 2.843
Ga -1.161 10.670 1.422
Ga 0.000 0.000 0.000
Ga 5.804 3.283 8.530
Ga 2.321 3.283 5.686
Ga -2.321 -3.283 5.686
Ga -3.482 7.387 4.265
Ga -2.321 6.566 0.000
Ga 3.482 9.849 2.843
Ga 4.643 6.566 0.000
Ga 5.804 5.745 4.265
Ga 1.161 -3.283 8.530
Ga 3.482 2.462 1.422
Ga 4.643 -3.283 5.686
Nd 3.482 0.000 8.530
Nd -3.482 -2.462 9.951
Nd 8.125 9.028 1.422
Nd -1.161 5.745 7.108
Nd 1.161 6.566 2.843
Nd 3.482 7.387 7.108
Nd 10.447 0.000 2.843
Nd -3.482 2.462 9.951
Nd 8.125 4.104 1.422
Nd 5.804 0.821 4.265
Nd -5.804 6.566 8.530
Nd 1.161 -0.821 4.265
```

DFT total energy in eV per atom: -4.587
Crystal system: cubic
Total moment in Bohr magnetons per cell: 0.00
Uncorrected formation energy in eV per atom: -1.0247



# 3
A plane-wave DFT calculation with PBE was carried out for Pa2BeC3 after structural relaxation.

```
24
Lattice="-1.745 0.716 -2.897 2.184 -5.785 -2.746 -10.643 -6.319 4.848" Properties=species:S:1:pos:R:3 pbc="T T T"
C -2.224 -4.864 -2.958
C -8.941 -9.294 2.056
C -6.635 -6.162 -0.621
C -3.945 -7.226 -2.505
C -8.674 -10.913 -0.568
C -1.264 -2.093 -2.851
C -6.394 -9.121 0.565
C -6.260 -4.161 1.710
C -1.531 -0.474 -0.227
C -7.980 -6.522 2.163
C -3.811 -2.266 -1.359
C -3.569 -5.225 -0.173
Pa -1.440 -6.893 -1.869
Pa -4.532 -7.588 -0.178
Pa -5.673 -3.799 -0.617
Pa -8.765 -4.494 1.074
Pa -8.353 -7.789 0.011
Pa -10.106 -7.357 3.237
Pa -1.852 -3.597 -0.806
Pa -0.098 -4.030 -4.032
Be -3.850 -5.411 -2.113
Be -7.761 -10.352 1.084
Be -2.443 -1.035 -1.879
Be -6.355 -5.976 1.319
```

DFT total energy in eV per atom: -8.741
Crystal system: orthorhombic
ΔH_f (0 K) in kJ/mol of formula units: -198
Total moment in Bohr magnetons per cell: 0.00



# 4
A plane-wave DFT calculation with PBE was carried out for La2InGe4 after structural relaxation.

```
7
Lattice="-2.358 3.404 3.049 -1.436 -3.809 3.141 4.519 0.668 7.085" Properties=species:S:1:pos:R:3 pbc="T T T"
In 0.000 0.000 0.000
Ge -1.179 1.702 1.525
Ge 2.299 0.367 5.704
Ge -1.575 -0.105 7.571
Ge -0.718 -1.905 1.571
La 0.957 0.239 9.145
La -0.232 0.023 4.131
```

DFT total energy in eV per atom: -4.472
Crystal system: tetragonal
ΔH_f (0 K) in kJ/mol of formula units: -23
Total moment in Bohr magnetons per cell: 0.00



# 5
A plane-wave DFT calculation with PBE was carried out for NdHoTm2S4 after structural relaxation.

```
8
Lattice="-1.102 0.790 -3.610 0.668 -6.625 -1.653 -5.889 -3.122 1.115" Properties=species:S:1:pos:R:3 pbc="T T T"
Ho -2.611 -4.874 -0.269
S -4.787 -3.524 -1.369
S -3.831 -7.376 -0.444
S -2.492 -1.581 -3.704
S -1.536 -5.434 -2.779
Tm -3.495 -1.166 -1.248
Tm -5.889 -3.122 1.115
Nd -0.217 -2.918 -2.632
```

DFT total energy in eV per atom: -6.310
Crystal system: monoclinic
Total moment in Bohr magnetons per cell: 0.00
Uncorrected formation energy in eV per atom: -1.9600